VASP calculation (PBE) on crystalline Ca2ReTe at its relaxed geometry.

```
4
Lattice="4.209 0.000 0.000 0.000 4.209 0.000 0.000 0.000 6.346" Properties=species:S:1:pos:R:3 pbc="T T T"
Re 0.000 0.000 2.878
Ca 0.000 0.000 6.080
Ca 2.105 2.105 1.913
Te 2.105 2.105 4.995
```

Formation energy (no corrections), kJ/mol of formula units: 143



VASP calculation (PBE) on crystalline Tl2Hg3Se4 at its relaxed geometry.

```
18
Lattice="9.493 -2.082 0.856 -0.511 7.376 -0.562 -0.177 -2.090 8.939" Properties=species:S:1:pos:R:3 pbc="T T T"
Tl 2.344 -0.316 4.709
Tl 0.093 -0.208 7.821
Tl 6.461 3.521 4.523
Tl 8.712 3.413 1.411
Hg 8.050 -0.038 3.495
Hg 5.624 5.272 0.333
Hg 0.755 3.243 5.737
Hg 3.180 -2.067 8.899
Hg 2.690 3.334 2.158
Hg 6.114 -0.129 7.074
Se 4.247 5.310 2.468
Se 1.596 2.555 8.009
Se 4.557 -2.105 6.764
Se 7.209 0.650 1.223
Se 8.477 -1.244 5.677
Se 7.019 2.217 7.515
Se 0.327 4.449 3.555
Se 1.785 0.988 1.717
```

Formation energy (no corrections), kJ/mol of formula units: -204



VASP calculation (PBE) on crystalline K2AgPt at its relaxed geometry.

```
4
Lattice="-3.106 -4.462 2.171 1.098 -5.061 -2.729 3.380 4.137 2.394" Properties=species:S:1:pos:R:3 pbc="T T T"
Ag -0.365 -2.544 2.143
K 0.000 0.000 0.000
K -1.004 -4.762 -0.279
Pt 1.737 -2.843 -0.307
```

Formation enthalpy at 0 K, eV/f.u.: 0.88



VASP calculation (PBE) on crystalline Ca3LaIn at its relaxed geometry.

```
5
Lattice="5.958 0.000 0.000 0.000 5.958 0.000 0.000 0.000 5.958" Properties=species:S:1:pos:R:3 pbc="T T T"
Ca 0.000 2.979 0.000
Ca 0.000 0.000 2.979
Ca 2.979 0.000 0.000
La 2.979 2.979 2.979
In 0.000 0.000 0.000
```

Formation enthalpy at 0 K, eV/f.u.: 0.73



VASP calculation (PBE) on crystalline OF at its relaxed geometry.

```
16
Lattice="5.938 0.000 0.000 0.000 5.644 0.000 0.000 0.000 7.315" Properties=species:S:1:pos:R:3 pbc="T T T"
O 1.745 1.909 1.079
O 4.714 0.913 6.236
O 4.192 4.731 2.578
O 1.223 3.735 4.737
O 1.948 4.662 4.995
O 4.917 3.804 2.320
O 3.989 1.840 5.977
O 1.020 0.982 1.338
F 5.444 3.881 0.785
F 2.475 4.585 6.530
F 0.494 1.059 2.873
F 3.463 1.763 4.442
F 5.598 4.085 5.080
F 2.629 4.381 2.235
F 0.340 1.263 5.892
F 3.309 1.559 1.423
```

Formation energy (no corrections), kJ/mol of formula units: -27



VASP calculation (PBE) on crystalline TaSbMo2 at its relaxed geometry.

```
4
Lattice="5.296 0.000 -0.010 2.221 4.808 0.010 -3.340 -3.058 2.746" Properties=species:S:1:pos:R:3 pbc="T T T"
Mo 0.046 0.029 0.000
Mo 3.713 2.375 0.000
Sb 2.857 -0.327 1.368
Ta 1.319 2.077 1.378
```

Formation energy (no corrections), kJ/mol of formula units: 56



VASP calculation (PBE) on crystalline Al2SbCl at its relaxed geometry.

```
4
Lattice="-1.318 5.326 -0.332 -2.261 -0.677 -1.874 -5.944 -1.307 2.637" Properties=species:S:1:pos:R:3 pbc="T T T"
Sb -7.741 0.944 0.392
Al -7.474 -1.789 0.988
Al -3.653 1.934 0.032
Cl -2.965 -0.724 0.164
```

Formation energy (no corrections), kJ/mol of formula units: -48



VASP calculation (PBE) on crystalline LaTbPrDy at its relaxed geometry.

```
4
Lattice="-3.377 2.956 2.534 0.409 -3.069 4.126 5.361 2.962 -1.553" Properties=species:S:1:pos:R:3 pbc="T T T"
La 3.453 2.588 1.583
Tb 1.972 2.533 4.914
Pr 1.722 -0.398 2.758
Dy -0.172 2.614 1.962
```

Formation enthalpy at 0 K, eV/f.u.: 0.11



Repeat the seventh record exactly.
VASP calculation (PBE) on crystalline Al2SbCl at its relaxed geometry.

```
4
Lattice="-1.318 5.326 -0.332 -2.261 -0.677 -1.874 -5.944 -1.307 2.637" Properties=species:S:1:pos:R:3 pbc="T T T"
Sb -7.741 0.944 0.392
Al -7.474 -1.789 0.988
Al -3.653 1.934 0.032
Cl -2.965 -0.724 0.164
```

Formation energy (no corrections), kJ/mol of formula units: -48